Density functional theory data (PBEsol) for CrHgSe2 after structural relaxation.

Cell: 3.426 3.434 8.404 Å, 101.28 90.00 119.92°
Site moments in Bohr magnetons follow the coordinates.
Element x y z (fractional)
Cr 0.000 0.000 0.500  2.46
Hg 0.500 0.000 0.000  -0.06
Se 0.724 0.447 0.678  -0.15
Se 0.276 0.553 0.322  -0.15

Output
- energy relative to the elements, uncorrected (eV per atom) = -0.29
- DFT total energy (eV/atom) = -4.922